Entry 1:
Crystalline AcSn2Ge2 at its relaxed geometry, computed with PBE.

a = 13.340 Å, b = 13.340 Å, c = 13.340 Å
α = 160.68°, β = 159.80°, γ = 28.10°
Atoms (fractional coordinates):
Ac 0.325 0.075 0.250
Ac 0.675 0.925 0.750
Sn 0.054 0.804 0.250
Sn 0.446 0.696 0.750
Sn 0.554 0.304 0.250
Sn 0.946 0.196 0.750
Ge 0.131 0.381 0.750
Ge 0.229 0.479 0.750
Ge 0.771 0.521 0.250
Ge 0.869 0.619 0.250

space group: Imma (74)
energy of formation from the pure elements: -0.340 eV per atom



Entry 2:
Crystalline Ac4SnGe at its relaxed geometry, computed with PBE.

a = 7.980 Å, b = 7.934 Å, c = 7.915 Å
α = 90.00°, β = 90.69°, γ = 90.00°
Atoms (fractional coordinates):
Ac 0.154 0.169 0.176
Ac 0.154 0.331 0.676
Ac 0.328 0.656 0.149
Ac 0.328 0.844 0.649
Ac 0.672 0.156 0.351
Ac 0.672 0.344 0.851
Ac 0.846 0.669 0.324
Ac 0.846 0.831 0.824
Sn 0.500 0.000 0.000
Sn 0.500 0.500 0.500
Ge 0.000 0.000 0.500
Ge 0.000 0.500 0.000

space group: P2_1/c (14)
energy of formation from the pure elements: -0.339 eV per atom



Entry 3:
Crystalline Ac7SnGe5 at its relaxed geometry, computed with PBE.

a = 8.785 Å, b = 8.785 Å, c = 8.785 Å
α = 135.73°, β = 92.90°, γ = 103.50°
Atoms (fractional coordinates):
Ac 0.000 0.000 0.000
Ac 0.011 0.706 0.305
Ac 0.396 0.396 0.000
Ac 0.401 0.706 0.695
Ac 0.529 0.029 0.500
Ac 0.626 0.289 0.337
Ac 0.953 0.289 0.663
Sn 0.699 0.699 0.000
Ge 0.018 0.518 0.500
Ge 0.250 0.180 0.459
Ge 0.250 0.790 0.070
Ge 0.720 0.180 0.930
Ge 0.720 0.790 0.541

space group: Imm2 (44)
energy of formation from the pure elements: -0.479 eV per atom



energy of formation from the pure elements of number 2 (Ac4SnGe)? -0.339 eV per atom



Look up the energy of formation from the pure elements of the second one. -0.339 eV per atom



The highest energy of formation from the pure elements belongs to which entry? Ac4SnGe